Compound: CoNi2RhO4
Source: Alexandria via LeMat-Bulk
Functional: PBE+U
Structure: relaxed

The calculation puts the density of states at the Fermi level at 0.65 states/eV/atom. The calculation puts the final energy at -5.41 eV per atom. The calculated density is 6.8 g/cm³.

The structure belongs to space group C2/c (No. 15); the cell edges are 8.143, 8.258 and 6.222 Å and the angles 90.00°, 126.79° and 90.00°. The asymmetric unit holds Co at (0.250, 0.250, 0.000), Ni at (0.000, 0.000, 0.000), Ni at (0.250, 0.250, 0.500), Rh at (0.000, 0.500, 0.000), O at (0.045, 0.255, 0.077) and O at (0.207, 0.008, 0.901).